Entry 1:
{"formula": "ZrGe2MoP", "functional": "PBE-GGA", "state": "optimized geometry", "volume_a3_per_atom": 21.616, "m_tot_mub_per_cell": 0.0, "lattice_angstrom": [[4.8886, 0.0000, 0.0000], [0.0000, 4.5225, 0.0000], [0.0000, 0.0000, 4.8886]], "species": ["P", "Mo", "Ge", "Ge", "Zr"], "fractional_positions": [[0.0000, 0.5000, 0.0000], [0.0000, 0.0000, 0.0000], [0.0000, 0.0000, 0.5000], [0.5000, 0.0000, 0.0000], [0.5000, 0.5000, 0.5000]]}



Entry 2:
{"formula": "CaCuSe2", "functional": "PBE-GGA", "state": "optimized geometry", "raw_formation_energy_mev_per_atom": -542, "volume_a3_per_atom": 20.747, "m_tot_mub_per_cell": 0.0, "lattice_angstrom": [[-1.7596, -0.5280, 3.0361], [1.4425, -3.2306, 0.2742], [5.0572, 2.5444, 3.3733]], "species": ["Ca", "Cu", "Se", "Se"], "fractional_positions": [[0.5000, 0.5000, 0.2500], [0.5000, 0.5000, 0.7500], [0.0000, 0.0000, 0.9860], [0.0000, 0.0000, 0.5140]]}



no.,E_tot (eV/atom),density of states at the Fermi level (states/eV/f.u.)
1,-6.30,6.58
2,-3.81,1.80